Record 1
This record from Alexandria via LeMat-Bulk describes a relaxed Dy4GaGe3 crystal. The functional is PBE.

a = 3.9770 Å, b = 4.3050 Å, c = 10.7751 Å
α = 90.00°, β = 90.00°, γ = 90.00°
Space group Pmm2 (No. 25)
Symmetry-distinct sites (fractional):
Dy 0.0000 0.0000 0.0000 [1 per cell]
Dy 0.0000 0.5000 0.4994 [1 per cell]
Dy 0.5000 0.0000 0.2776 [1 per cell]
Dy 0.5000 0.5000 0.7785 [1 per cell]
Ga 0.5000 0.0000 0.5589 [1 per cell]
Ge 0.0000 0.0000 0.7198 [1 per cell]
Ge 0.0000 0.5000 0.2225 [1 per cell]
Ge 0.5000 0.5000 0.0539 [1 per cell]

spin magnetization = 0.00 μB per formula unit
E = -5.25 eV per atom

Record 2
This record from Alexandria via LeMat-Bulk describes a relaxed ZnCr crystal. The functional is PBE.

a = 2.4352 Å, b = 4.3455 Å, c = 4.8646 Å
α = 90.00°, β = 90.00°, γ = 90.00°
Space group Pmmn (No. 59, origin choice 2)
Symmetry-distinct sites (fractional):
Zn 0.2500 0.2500 0.0956 [2 per cell]
Cr 0.2500 0.7500 0.4139 [2 per cell]

spin magnetization = 0.00 μB per formula unit
E = -5.14 eV per atom

Record 3
This record from Alexandria via LeMat-Bulk describes a relaxed Er7Pb2Au2 crystal. The functional is PBE.

a = 3.7753 Å, b = 16.1543 Å, c = 10.1447 Å
α = 90.00°, β = 90.00°, γ = 90.00°
Space group Imm2 (No. 44)
Symmetry-distinct sites (fractional):
Er 0.0000 0.0000 0.0000 [2 per cell]
Er 0.0000 0.1201 0.4410 [4 per cell]
Er 0.0000 0.3155 0.6434 [4 per cell]
Er 0.0000 0.3525 0.2871 [4 per cell]
Pb 0.0000 0.0000 0.6846 [2 per cell]
Pb 0.0000 0.5000 0.7600 [2 per cell]
Au 0.0000 0.2421 0.9464 [4 per cell]

spin magnetization = 0.00 μB per formula unit
energy above the lowest structure with this stoichiometry = 0.0 meV per atom

Record 4
This record from Alexandria via LeMat-Bulk describes a relaxed CaPr2GeO6 crystal. The functional is PBE.

a = 5.4837 Å, b = 5.4837 Å, c = 4.9847 Å
α = 90.00°, β = 90.00°, γ = 90.00°
Space group P4mm (No. 99)
Symmetry-distinct sites (fractional):
Ca 0.0000 0.0000 0.0000 [1 per cell]
Pr 0.0000 0.5000 0.4358 [2 per cell]
Ge 0.5000 0.5000 0.0334 [1 per cell]
O 0.0000 0.0000 0.5556 [1 per cell]
O 0.2714 0.2714 0.1545 [4 per cell]
O 0.5000 0.5000 0.6722 [1 per cell]

spin magnetization = 0.00 μB per formula unit
formation energy from raw total energies = -26.86 eV/f.u.

Record 5
This record from Alexandria via LeMat-Bulk describes a relaxed Nd3Er3TmTe8 crystal. The functional is PBE.

a = 8.7457 Å, b = 8.7457 Å, c = 21.6779 Å
α = 90.00°, β = 90.00°, γ = 120.00°
Space group R-3m (No. 166, hexagonal axes)
Symmetry-distinct sites (fractional):
Nd 0.0000 0.5000 0.0000 [9 per cell]
Er 0.0000 0.5000 0.5000 [9 per cell]
Tm 0.0000 0.0000 0.5000 [3 per cell]
Te 0.0000 0.0000 0.2453 [6 per cell]
Te 0.0072 0.5036 0.7530 [18 per cell]

spin magnetization = 0.00 μB per formula unit
formation energy from raw total energies = -20.63 eV/f.u.

Record 6
This record from Alexandria via LeMat-Bulk describes a relaxed Zr3SiAg crystal. The functional is PBE.

a = 4.9460 Å, b = 4.9460 Å, c = 4.9460 Å
α = 90.00°, β = 90.00°, γ = 90.00°
Space group Pm-3m (No. 221)
Symmetry-distinct sites (fractional):
Zr 0.0000 0.0000 0.5000 [3 per cell]
Si 0.0000 0.0000 0.0000 [1 per cell]
Ag 0.5000 0.5000 0.5000 [1 per cell]

spin magnetization = 0.00 μB per formula unit
energy above the lowest structure with this stoichiometry = 0.0 meV per atom
formation energy from raw total energies = 1.12 eV/f.u.

Record 7
This record from Alexandria via LeMat-Bulk describes a relaxed Tb2Sm4Er5 crystal. The functional is PBE.

a = 19.4522 Å, b = 5.7554 Å, c = 6.3424 Å
α = 90.00°, β = 94.22°, γ = 90.00°
Space group C2/m (No. 12)
Symmetry-distinct sites (fractional):
Tb 0.0990 0.0000 0.0455 [4 per cell]
Sm 0.0326 0.5000 0.7728 [4 per cell]
Sm 0.1948 0.0000 0.5721 [4 per cell]
Er 0.0000 0.0000 0.5000 [2 per cell]
Er 0.1301 0.5000 0.3643 [4 per cell]
Er 0.2121 0.5000 0.8969 [4 per cell]

spin magnetization = 0.00 μB per formula unit
energy above the lowest structure with this stoichiometry = 0.0 meV per atom

Record 8
This record from Alexandria via LeMat-Bulk describes a relaxed Zr4Cd3Hg crystal. The functional is PBE.

a = 3.5252 Å, b = 3.5252 Å, c = 14.0655 Å
α = 90.00°, β = 90.00°, γ = 90.00°
Space group P4/mmm (No. 123)
Symmetry-distinct sites (fractional):
Zr 0.0000 0.0000 0.1243 [2 per cell]
Zr 0.0000 0.0000 0.3749 [2 per cell]
Cd 0.5000 0.5000 0.2505 [2 per cell]
Cd 0.5000 0.5000 0.5000 [1 per cell]
Hg 0.5000 0.5000 0.0000 [1 per cell]

spin magnetization = 0.00 μB per formula unit
E = -4.74 eV per atom

Record 9
This record from Alexandria via LeMat-Bulk describes a relaxed KRbZnHg2 crystal. The functional is PBE.

a = 5.5877 Å, b = 5.5877 Å, c = 6.0729 Å
α = 90.00°, β = 90.00°, γ = 90.00°
Space group P4/mmm (No. 123)
Symmetry-distinct sites (fractional):
K 0.0000 0.0000 0.0000 [1 per cell]
Rb 0.5000 0.5000 0.0000 [1 per cell]
Zn 0.0000 0.0000 0.5000 [1 per cell]
Hg 0.0000 0.5000 0.5000 [2 per cell]

spin magnetization = 0.00 μB per formula unit
energy above the lowest structure with this stoichiometry = 0.0 meV per atom

Record 10
This record from Alexandria via LeMat-Bulk describes a relaxed CaLa2TbSe4 crystal. The functional is PBE.

a = 7.3102 Å, b = 4.2028 Å, c = 7.3704 Å
α = 90.00°, β = 109.07°, γ = 90.00°
Space group P2/m (No. 10)
Symmetry-distinct sites (fractional):
Ca 0.0000 0.0000 0.0000 [1 per cell]
La 0.0000 0.5000 0.5000 [1 per cell]
La 0.5000 0.0000 0.5000 [1 per cell]
Tb 0.5000 0.5000 0.0000 [1 per cell]
Se 0.2467 0.5000 0.2353 [2 per cell]
Se 0.2562 0.0000 0.7663 [2 per cell]

spin magnetization = 0.00 μB per formula unit
formation energy from raw total energies = -15.42 eV/f.u.

Record 11
This record from Alexandria via LeMat-Bulk describes a relaxed Ti8SnTe2 crystal. The functional is PBE.

a = 7.3055 Å, b = 12.3486 Å, c = 5.0530 Å
α = 90.00°, β = 113.72°, γ = 90.00°
Space group C2/m (No. 12)
Symmetry-distinct sites (fractional):
Ti 0.0000 0.2287 0.0000 [4 per cell]
Ti 0.0855 0.5000 0.8129 [4 per cell]
Ti 0.1990 0.1068 0.6270 [8 per cell]
Sn 0.0000 0.0000 0.0000 [2 per cell]
Te 0.0000 0.3045 0.5000 [4 per cell]

spin magnetization = 0.00 μB per formula unit
formation energy from raw total energies = -2.05 eV/f.u.

Record 12
This record from Alexandria via LeMat-Bulk describes a relaxed Zn2TcPt crystal. The functional is PBE.

a = 2.7712 Å, b = 4.5318 Å, c = 9.3329 Å
α = 90.00°, β = 90.00°, γ = 90.00°
Space group Imm2 (No. 44)
Symmetry-distinct sites (fractional):
Zn 0.0000 0.0000 0.0000 [2 per cell]
Zn 0.0000 0.5000 0.2504 [2 per cell]
Tc 0.0000 0.0000 0.4973 [2 per cell]
Pt 0.0000 0.5000 0.7437 [2 per cell]

spin magnetization = 0.00 μB per formula unit
energy above the lowest structure with this stoichiometry = 96.6 meV per atom

Record 13
This record from Alexandria via LeMat-Bulk describes a relaxed HfTaTi crystal. The functional is PBE.

a = 2.9727 Å, b = 2.9749 Å, c = 14.2721 Å
α = 86.14°, β = 85.79°, γ = 66.87°
Space group P-1 (No. 2)
Symmetry-distinct sites (fractional):
Hf 0.2004 0.1973 0.4049 [2 per cell]
Ta 0.2355 0.2315 0.0796 [2 per cell]
Ti 0.3767 0.3875 0.7625 [2 per cell]

spin magnetization = 0.00 μB per formula unit
energy above the lowest structure with this stoichiometry = 16.9 meV per atom

Record 14
This record from Alexandria via LeMat-Bulk describes a relaxed Pr3Pt2O crystal. The functional is PBE.

a = 12.3812 Å, b = 6.5672 Å, c = 7.4716 Å
α = 90.00°, β = 95.00°, γ = 90.00°
Space group C2/c (No. 15)
Symmetry-distinct sites (fractional):
Pr 0.0000 0.1323 0.2500 [4 per cell]
Pr 0.1578 0.3642 0.6857 [8 per cell]
Pt 0.1752 0.0691 0.0085 [8 per cell]
O 0.0000 0.4760 0.2500 [4 per cell]

spin magnetization = 0.00 μB per formula unit
formation energy from raw total energies = -9.41 eV/f.u.

Record 15
This record from Alexandria via LeMat-Bulk describes a relaxed CsMn2NiCl8 crystal. The functional is PBE.

a = 6.9000 Å, b = 6.9000 Å, c = 28.5422 Å
α = 90.00°, β = 90.00°, γ = 120.00°
Space group R32 (No. 155, hexagonal axes)
Symmetry-distinct sites (fractional):
Cs 0.0000 0.0000 0.0000 [3 per cell]
Mn 0.0000 0.0000 0.2419 [6 per cell]
Ni 0.0000 0.0000 0.5000 [3 per cell]
Cl 0.0000 0.0000 0.3202 [6 per cell]
Cl 0.0238 0.4625 0.1138 [18 per cell]

spin magnetization = 7.00 μB per formula unit
formation energy from raw total energies = -11.95 eV/f.u.

Record 16
This record from Alexandria via LeMat-Bulk describes a relaxed La6AgCl8 crystal. The functional is PBE.

a = 7.1689 Å, b = 7.1689 Å, c = 31.3417 Å
α = 90.00°, β = 90.00°, γ = 120.00°
Space group R-3 (No. 148, hexagonal axes)
Symmetry-distinct sites (fractional):
La 0.9996 0.3462 0.0560 [18 per cell]
Ag 0.0000 0.0000 0.0000 [3 per cell]
Cl 0.0000 0.0000 0.3334 [6 per cell]
Cl 0.9995 0.3187 0.8900 [18 per cell]

spin magnetization = 0.80 μB per formula unit
formation energy from raw total energies = -25.47 eV/f.u.

Record 17
This record from Alexandria via LeMat-Bulk describes a relaxed CaMnBe crystal. The functional is PBE.

a = 4.0094 Å, b = 4.0094 Å, c = 4.2590 Å
α = 90.00°, β = 90.00°, γ = 120.00°
Space group P-6m2 (No. 187)
Symmetry-distinct sites (fractional):
Ca 0.0000 0.0000 0.0000 [1 per cell]
Mn 0.6667 0.3333 0.5000 [1 per cell]
Be 0.3333 0.6667 0.5000 [1 per cell]

spin magnetization = 2.99 μB per formula unit
energy above the lowest structure with this stoichiometry = 64.2 meV per atom

Record 18
This record from Alexandria via LeMat-Bulk describes a relaxed Pm5Ho12Mg2 crystal. The functional is PBE.

a = 15.5174 Å, b = 9.2276 Å, c = 8.4076 Å
α = 90.00°, β = 91.63°, γ = 90.00°
Space group C2/m (No. 12)
Symmetry-distinct sites (fractional):
Pm 0.0000 0.0000 0.0000 [2 per cell]
Pm 0.2061 0.5000 0.5189 [4 per cell]
Pm 0.2335 0.0000 0.0736 [4 per cell]
Ho 0.0568 0.5000 0.8334 [4 per cell]
Ho 0.0766 0.0000 0.3787 [4 per cell]
Ho 0.1272 0.3087 0.1744 [8 per cell]
Ho 0.1456 0.1812 0.7391 [8 per cell]
Mg 0.0000 0.3324 0.5000 [4 per cell]

spin magnetization = 0.00 μB per formula unit
E = -4.21 eV per atom

Record 19
This record from Alexandria via LeMat-Bulk describes a relaxed ScCo2Ru crystal. The functional is PBE.

a = 2.7356 Å, b = 3.6227 Å, c = 5.4669 Å
α = 90.00°, β = 90.00°, γ = 90.00°
Space group Pmmm (No. 47)
Symmetry-distinct sites (fractional):
Sc 0.0000 0.0000 0.0000 [1 per cell]
Co 0.5000 0.5000 0.2788 [2 per cell]
Ru 0.0000 0.0000 0.5000 [1 per cell]

spin magnetization = 0.00 μB per formula unit
energy above the lowest structure with this stoichiometry = 77.8 meV per atom

Record 20
This record from Alexandria via LeMat-Bulk describes a relaxed Cs3Sr2NpSe6 crystal. The functional is PBE.

a = 7.7600 Å, b = 13.4171 Å, c = 8.7174 Å
α = 90.00°, β = 107.20°, γ = 90.00°
Space group C2/m (No. 12)
Symmetry-distinct sites (fractional):
Cs 0.0000 0.0000 0.0000 [2 per cell]
Cs 0.0000 0.3261 0.0000 [4 per cell]
Sr 0.0000 0.1660 0.5000 [4 per cell]
Np 0.0000 0.5000 0.5000 [2 per cell]
Se 0.2125 0.3504 0.6886 [8 per cell]
Se 0.2339 0.5000 0.3083 [4 per cell]

spin magnetization = 2.00 μB per formula unit
formation energy from raw total energies = -17.58 eV/f.u.

Record 21
This record from Alexandria via LeMat-Bulk describes a relaxed Mg2FeRh crystal. The functional is PBE.

a = 5.8630 Å, b = 6.6822 Å, c = 3.1335 Å
α = 90.00°, β = 90.00°, γ = 90.00°
Space group Cmmm (No. 65)
Symmetry-distinct sites (fractional):
Mg 0.2500 0.2500 0.0000 [4 per cell]
Fe 0.0000 0.0000 0.5000 [2 per cell]
Rh 0.0000 0.5000 0.5000 [2 per cell]

spin magnetization = 2.67 μB per formula unit
E = -4.81 eV per atom

Record 22
This record from Alexandria via LeMat-Bulk describes a relaxed Ca2Br crystal. The functional is PBE.

a = 13.4411 Å, b = 3.9329 Å, c = 8.3303 Å
α = 90.00°, β = 96.78°, γ = 90.00°
Space group Cm (No. 8)
Symmetry-distinct sites (fractional):
Ca 0.0000 0.0000 0.0000 [2 per cell]
Ca 0.0228 0.0000 0.5182 [2 per cell]
Ca 0.2169 0.5000 0.2876 [2 per cell]
Ca 0.3017 0.0000 0.6893 [2 per cell]
Br 0.2692 0.5000 0.9468 [2 per cell]
Br 0.3999 0.0000 0.2861 [2 per cell]

spin magnetization = 0.00 μB per formula unit
energy above the lowest structure with this stoichiometry = 95.1 meV per atom
formation energy from raw total energies = -2.40 eV/f.u.

Record 23
This record from Alexandria via LeMat-Bulk describes a relaxed ZnPt2Au2 crystal. The functional is PBE.

a = 3.7610 Å, b = 3.7610 Å, c = 13.3784 Å
α = 90.00°, β = 90.00°, γ = 90.00°
Space group I4/mmm (No. 139)
Symmetry-distinct sites (fractional):
Zn 0.0000 0.0000 0.0000 [2 per cell]
Pt 0.0000 0.0000 0.4055 [4 per cell]
Au 0.0000 0.5000 0.2500 [4 per cell]

spin magnetization = 0.00 μB per formula unit
energy above the lowest structure with this stoichiometry = 287.4 meV per atom

Record 24
This record from Alexandria via LeMat-Bulk describes a relaxed Al3Cr crystal. The functional is PBE.

a = 5.3869 Å, b = 7.8221 Å, c = 2.8762 Å
α = 90.00°, β = 90.00°, γ = 90.00°
Space group Cmmm (No. 65)
Symmetry-distinct sites (fractional):
Al 0.0000 0.0000 0.0000 [2 per cell]
Al 0.2500 0.2500 0.5000 [4 per cell]
Cr 0.0000 0.5000 0.0000 [2 per cell]

spin magnetization = 2.57 μB per formula unit
E = -5.23 eV per atom